## RbHfCu3Se4 (GGA-PBE)

Data for crystalline RbHfCu3Se4 at its relaxed geometry.

Unit cell a=6.3239 b=6.3239 c=6.3239 alpha=90.00 beta=90.00 gamma=90.00
Positions (direct):
Se 0.2253 0.2253 0.2253
Cu 0.5000 0.0000 0.0000
Hf 0.0000 0.0000 0.0000
Se 0.7747 0.7747 0.2253
Se 0.2253 0.7747 0.7747
Cu 0.0000 0.0000 0.5000
Se 0.7747 0.2253 0.7747
Rb 0.5000 0.5000 0.5000
Cu 0.0000 0.5000 0.0000

As for the space-group type: P-43m. As for the uncorrected formation energy: -0.613 eV/atom. As for the total magnetization: 0.000 μB per atom.